#1
The following is a DFT calculation (PBE) of an optimized crystal structure of ScCr2Ni2.

Cell: 7.166 7.166 2.545 Å, 90.00 90.00 90.00°
Space group P4/mbm (No. 127)
Symmetry-distinct sites (fractional):
Sc (0.000, 0.000, 0.000) (multiplicity 2)
Cr (0.173, 0.327, 0.500) (multiplicity 4)
Ni (0.122, 0.622, 0.000) (multiplicity 4)

Results
DOS at the Fermi energy, states/eV/atom: 1.10
Theoretical density, g/cm3: 6.77
Total magnetization, μB/cell: 0.0

---

#2
The following is a DFT calculation (PBE) of an optimized crystal structure of ScCr2Ni2.

Cell: 7.202 7.202 2.547 Å, 90.00 90.00 90.00°
Space group P4/mbm (No. 127)
Symmetry-distinct sites (fractional):
Sc (0.000, 0.000, 0.000) (multiplicity 2)
Cr (0.107, 0.393, 0.000) (multiplicity 4)
Ni (0.185, 0.685, 0.500) (multiplicity 4)

Results
DOS at the Fermi energy, states/eV/atom: 1.41
Theoretical density, g/cm3: 6.70
Total magnetization, μB/cell: 1.3

---

Which structure wins on stability? #2 wins.

---

#1
The following is a DFT calculation (PBE) of an optimized crystal structure of ScCrNi2.

Cell: 3.700 3.700 8.260 Å, 90.00 90.00 90.00°
Space group I-4m2 (No. 119)
Symmetry-distinct sites (fractional):
Sc (0.000, 0.000, 0.000) (multiplicity 2)
Cr (0.000, 0.500, 0.750) (multiplicity 2)
Ni (0.000, 0.000, 0.500) (multiplicity 2)
Ni (0.000, 0.500, 0.250) (multiplicity 2)

Results
DOS at the Fermi energy, states/eV/atom: 1.18
Theoretical density, g/cm3: 6.30
Total magnetization, μB/cell: 8.1

---

#2
The following is a DFT calculation (PBE) of an optimized crystal structure of ScCrNi2.

Cell: 6.031 6.031 6.031 Å, 90.00 90.00 90.00°
Space group F-43m (No. 216)
Symmetry-distinct sites (fractional):
Sc (0.000, 0.000, 0.000) (multiplicity 4)
Cr (0.250, 0.250, 0.750) (multiplicity 4)
Ni (0.000, 0.000, 0.500) (multiplicity 4)
Ni (0.250, 0.250, 0.250) (multiplicity 4)

Results
DOS at the Fermi energy, states/eV/atom: 1.90
Theoretical density, g/cm3: 6.49
Total magnetization, μB/cell: 12.1

---

Which structure wins on stability? #1 wins.

---

#1
The following is a DFT calculation (PBE) of an optimized crystal structure of CrNiSe3.

Cell: 6.557 3.673 9.560 Å, 90.00 108.40 90.00°
Space group P2_1/m (No. 11)
Symmetry-distinct sites (fractional):
Cr (0.022, 0.250, 0.327) (multiplicity 2)
Ni (0.500, 0.250, 0.837) (multiplicity 2)
Se (0.198, 0.750, 0.246) (multiplicity 2)
Se (0.206, 0.250, 0.605) (multiplicity 2)
Se (0.321, 0.750, 0.899) (multiplicity 2)

Results
DOS at the Fermi energy, states/eV/atom: 0.83
Theoretical density, g/cm3: 5.28
Total magnetization, μB/cell: 5.6

---

#2
The following is a DFT calculation (PBE) of an optimized crystal structure of CrNiSe3.

Cell: 4.641 4.641 4.641 Å, 90.00 90.00 90.00°
Space group Pm-3m (No. 221)
Symmetry-distinct sites (fractional):
Cr (0.000, 0.000, 0.000) (multiplicity 1)
Ni (0.500, 0.500, 0.500) (multiplicity 1)
Se (0.000, 0.500, 0.500) (multiplicity 3)

Results
DOS at the Fermi energy, states/eV/atom: 1.68
Theoretical density, g/cm3: 5.77
Total magnetization, μB/cell: 0.3

---

#3
The following is a DFT calculation (PBE) of an optimized crystal structure of CrNiSe3.

Cell: 4.694 4.694 4.694 Å, 90.00 90.00 90.00°
Space group Pm-3m (No. 221)
Symmetry-distinct sites (fractional):
Cr (0.000, 0.000, 0.000) (multiplicity 1)
Ni (0.500, 0.500, 0.500) (multiplicity 1)
Se (0.000, 0.000, 0.500) (multiplicity 3)

Results
DOS at the Fermi energy, states/eV/atom: 1.37
Theoretical density, g/cm3: 5.58
Total magnetization, μB/cell: 1.2

---

Which structure wins on stability? #1 wins.

---

#1
The following is a DFT calculation (PBE) of an optimized crystal structure of CrNiSe.

Cell: 3.9266 3.9266 3.3956 Å, 90.00 90.00 120.00°
Space group P3m1 (No. 156)
Symmetry-distinct sites (fractional):
Cr (0.0000, 0.0000, 0.0000) (multiplicity 1)
Ni (0.6667, 0.3333, 0.4781) (multiplicity 1)
Se (0.3333, 0.6667, 0.5304) (multiplicity 1)

Results
DOS at the Fermi energy, states/eV/atom: 0.37
Theoretical density, g/cm3: 6.95
Total magnetization, μB/cell: 3.6

---

#2
The following is a DFT calculation (PBE) of an optimized crystal structure of CrNiSe.

Cell: 3.382 3.382 7.556 Å, 90.00 90.00 90.00°
Space group I4mm (No. 107)
Symmetry-distinct sites (fractional):
Cr (0.000, 0.000, 0.000) (multiplicity 2)
Ni (0.000, 0.000, 0.348) (multiplicity 2)
Se (0.000, 0.000, 0.660) (multiplicity 2)

Results
DOS at the Fermi energy, states/eV/atom: 0.69
Theoretical density, g/cm3: 7.29
Total magnetization, μB/cell: 7.1

---

Which structure wins on stability? #1 wins.

---

#1
The following is a DFT calculation (PBE) of an optimized crystal structure of CrNiSe.

Cell: 2.9061 2.9061 5.7032 Å, 90.00 90.00 120.00°
Space group P3m1 (No. 156)
Symmetry-distinct sites (fractional):
Cr (0.0000, 0.0000, 0.0000) (multiplicity 1)
Ni (0.3333, 0.6667, 0.3249) (multiplicity 1)
Se (0.6667, 0.3333, 0.6982) (multiplicity 1)

Results
DOS at the Fermi energy, states/eV/atom: 1.07
Theoretical density, g/cm3: 7.55
Total magnetization, μB/cell: 0.0

---

#2
The following is a DFT calculation (PBE) of an optimized crystal structure of CrNiSe.

Cell: 5.972 6.010 6.142 Å, 68.36 68.89 87.23°
Space group P1 (No. 1)
Symmetry-distinct sites (fractional):
Cr (0.000, 0.000, 0.000) (multiplicity 1)
Cr (0.008, 0.525, 0.500) (multiplicity 1)
Cr (0.145, 0.067, 0.429) (multiplicity 1)
Cr (0.463, 0.803, 0.129) (multiplicity 1)
Ni (0.329, 0.689, 0.598) (multiplicity 1)
Ni (0.347, 0.233, 0.966) (multiplicity 1)
Ni (0.717, 0.113, 0.682) (multiplicity 1)
Ni (0.890, 0.720, 0.837) (multiplicity 1)
Se (0.158, 0.565, 0.058) (multiplicity 1)
Se (0.379, 0.303, 0.546) (multiplicity 1)
Se (0.738, 0.318, 0.942) (multiplicity 1)
Se (0.739, 0.853, 0.464) (multiplicity 1)

Results
DOS at the Fermi energy, states/eV/atom: 0.95
Theoretical density, g/cm3: 6.62
Total magnetization, μB/cell: 12.6

---

Which structure wins on stability? #2 wins.

---

#1
The following is a DFT calculation (PBE) of an optimized crystal structure of CrSiNi6.

Cell: 7.052 9.983 9.976 Å, 90.00 90.00 90.00°
Space group Cmmm (No. 65)
Symmetry-distinct sites (fractional):
Cr (0.000, 0.000, 0.249) (multiplicity 4)
Cr (0.000, 0.246, 0.000) (multiplicity 4)
Si (0.000, 0.245, 0.500) (multiplicity 4)
Si (0.000, 0.500, 0.249) (multiplicity 4)
Ni (0.000, 0.000, 0.000) (multiplicity 2)
Ni (0.000, 0.000, 0.500) (multiplicity 2)
Ni (0.000, 0.250, 0.252) (multiplicity 8)
Ni (0.000, 0.500, 0.000) (multiplicity 2)
Ni (0.000, 0.500, 0.500) (multiplicity 2)
Ni (0.247, 0.375, 0.126) (multiplicity 16)
Ni (0.247, 0.375, 0.376) (multiplicity 16)

Results
DOS at the Fermi energy, states/eV/atom: 1.20
Theoretical density, g/cm3: 8.18
Total magnetization, μB/cell: 16.9

---

#2
The following is a DFT calculation (PBE) of an optimized crystal structure of CrSiNi6.

Cell: 3.592 3.592 13.809 Å, 90.00 90.00 90.00°
Space group I4/mmm (No. 139)
Symmetry-distinct sites (fractional):
Cr (0.000, 0.000, 0.000) (multiplicity 2)
Si (0.000, 0.000, 0.500) (multiplicity 2)
Ni (0.000, 0.000, 0.250) (multiplicity 4)
Ni (0.000, 0.500, 0.123) (multiplicity 8)

Results
DOS at the Fermi energy, states/eV/atom: 1.24
Theoretical density, g/cm3: 8.06
Total magnetization, μB/cell: 8.4

---

Which structure wins on stability? #1 wins.

---

#1
The following is a DFT calculation (PBE) of an optimized crystal structure of CrNi2Sn2.

Cell: 3.425 3.425 14.996 Å, 90.00 90.00 90.00°
Space group I4/mmm (No. 139)
Symmetry-distinct sites (fractional):
Cr (0.000, 0.000, 0.000) (multiplicity 2)
Ni (0.000, 0.500, 0.250) (multiplicity 4)
Sn (0.000, 0.000, 0.384) (multiplicity 4)

Results
DOS at the Fermi energy, states/eV/atom: 1.13
Theoretical density, g/cm3: 7.68
Total magnetization, μB/cell: 8.0

---

#2
The following is a DFT calculation (PBE) of an optimized crystal structure of CrNi2Sn2.

Cell: 7.084 7.084 3.266 Å, 90.00 90.00 90.00°
Space group P4/mbm (No. 127)
Symmetry-distinct sites (fractional):
Cr (0.000, 0.000, 0.000) (multiplicity 2)
Ni (0.127, 0.373, 0.000) (multiplicity 4)
Sn (0.171, 0.671, 0.500) (multiplicity 4)

Results
DOS at the Fermi energy, states/eV/atom: 0.63
Theoretical density, g/cm3: 8.25
Total magnetization, μB/cell: 8.0

---

#3
The following is a DFT calculation (PBE) of an optimized crystal structure of CrNi2Sn2.

Cell: 7.313 7.313 2.951 Å, 90.00 90.00 90.00°
Space group P4/mbm (No. 127)
Symmetry-distinct sites (fractional):
Cr (0.000, 0.000, 0.000) (multiplicity 2)
Ni (0.138, 0.362, 0.500) (multiplicity 4)
Sn (0.159, 0.659, 0.000) (multiplicity 4)

Results
DOS at the Fermi energy, states/eV/atom: 0.65
Theoretical density, g/cm3: 8.56
Total magnetization, μB/cell: 0.0

---

Which structure wins on stability? #2 wins.

---

#1
The following is a DFT calculation (PBE) of an optimized crystal structure of SrCrNi3.

Cell: 4.466 4.466 4.466 Å, 90.00 90.00 90.00°
Space group Pm-3m (No. 221)
Symmetry-distinct sites (fractional):
Sr (0.000, 0.000, 0.000) (multiplicity 1)
Cr (0.500, 0.500, 0.500) (multiplicity 1)
Ni (0.000, 0.500, 0.500) (multiplicity 3)

Results
DOS at the Fermi energy, states/eV/atom: 1.28
Theoretical density, g/cm3: 5.89
Total magnetization, μB/cell: 0.0

---

#2
The following is a DFT calculation (PBE) of an optimized crystal structure of SrCrNi3.

Cell: 4.655 4.655 4.655 Å, 90.00 90.00 90.00°
Space group Pm-3m (No. 221)
Symmetry-distinct sites (fractional):
Sr (0.000, 0.000, 0.000) (multiplicity 1)
Cr (0.500, 0.500, 0.500) (multiplicity 1)
Ni (0.000, 0.000, 0.500) (multiplicity 3)

Results
DOS at the Fermi energy, states/eV/atom: 2.31
Theoretical density, g/cm3: 5.20
Total magnetization, μB/cell: 0.6

---

Which structure wins on stability? #1 wins.

---

#1
The following is a DFT calculation (PBE) of an optimized crystal structure of TaCr2Ni.

Cell: 4.066 4.066 3.230 Å, 90.00 90.00 90.00°
Space group P4/mmm (No. 123)
Symmetry-distinct sites (fractional):
Ta (0.000, 0.000, 0.000) (multiplicity 1)
Cr (0.000, 0.500, 0.500) (multiplicity 2)
Ni (0.500, 0.500, 0.000) (multiplicity 1)

Results
DOS at the Fermi energy, states/eV/atom: 1.20
Theoretical density, g/cm3: 10.69
Total magnetization, μB/cell: 2.7

---

#2
The following is a DFT calculation (PBE) of an optimized crystal structure of TaCr2Ni.

Cell: 5.989 5.989 5.989 Å, 90.00 90.00 90.00°
Space group F-43m (No. 216)
Symmetry-distinct sites (fractional):
Ta (0.000, 0.000, 0.000) (multiplicity 4)
Cr (0.000, 0.000, 0.500) (multiplicity 4)
Cr (0.250, 0.250, 0.750) (multiplicity 4)
Ni (0.250, 0.250, 0.250) (multiplicity 4)

Results
DOS at the Fermi energy, states/eV/atom: 0.79
Theoretical density, g/cm3: 10.62
Total magnetization, μB/cell: 4.4

---

#3
The following is a DFT calculation (PBE) of an optimized crystal structure of TaCr2Ni.

Cell: 3.580 3.580 4.108 Å, 90.00 90.00 90.00°
Space group P4/mmm (No. 123)
Symmetry-distinct sites (fractional):
Ta (0.000, 0.000, 0.000) (multiplicity 1)
Cr (0.000, 0.500, 0.500) (multiplicity 2)
Ni (0.500, 0.500, 0.000) (multiplicity 1)

Results
DOS at the Fermi energy, states/eV/atom: 1.31
Theoretical density, g/cm3: 10.84
Total magnetization, μB/cell: 0.0

---

#4
The following is a DFT calculation (PBE) of an optimized crystal structure of TaCr2Ni.

Cell: 3.043 3.043 5.801 Å, 90.00 90.00 90.00°
Space group P4mm (No. 99)
Symmetry-distinct sites (fractional):
Ta (0.000, 0.000, 0.000) (multiplicity 1)
Cr (0.000, 0.000, 0.495) (multiplicity 1)
Cr (0.500, 0.500, 0.276) (multiplicity 1)
Ni (0.500, 0.500, 0.745) (multiplicity 1)

Results
DOS at the Fermi energy, states/eV/atom: 0.99
Theoretical density, g/cm3: 10.62
Total magnetization, μB/cell: 1.5

---

Which structure wins on stability? #4 wins.

---

#1
The following is a DFT calculation (PBE) of an optimized crystal structure of TaCr3Ni.

Cell: 4.280 4.280 4.280 Å, 90.00 90.00 90.00°
Space group Pm-3m (No. 221)
Symmetry-distinct sites (fractional):
Ta (0.000, 0.000, 0.000) (multiplicity 1)
Cr (0.000, 0.500, 0.500) (multiplicity 3)
Ni (0.500, 0.500, 0.500) (multiplicity 1)

Results
DOS at the Fermi energy, states/eV/atom: 1.99
Theoretical density, g/cm3: 8.38
Total magnetization, μB/cell: 6.2

---

#2
The following is a DFT calculation (PBE) of an optimized crystal structure of TaCr3Ni.

Cell: 4.453 4.453 4.453 Å, 90.00 90.00 90.00°
Space group Pm-3m (No. 221)
Symmetry-distinct sites (fractional):
Ta (0.000, 0.000, 0.000) (multiplicity 1)
Cr (0.000, 0.000, 0.500) (multiplicity 3)
Ni (0.500, 0.500, 0.500) (multiplicity 1)

Results
DOS at the Fermi energy, states/eV/atom: 1.63
Theoretical density, g/cm3: 7.44
Total magnetization, μB/cell: 0.2

---

Which structure wins on stability? #1 wins.